# CsBaCa2As | the Alexandria database | PBE | relaxed
# Spin magnetization: 0.0 μB per formula unit
# ΔH_f (0 K): -23.0 kJ/mol of atoms
# Space-group type: P4/mmm (123)
# Energy: -12.62 eV for the cell shown
# ρ: 2.89 g/cm3
data_CsBaCa2As
_cell_length_a 5.843
_cell_length_b 5.843
_cell_length_c 7.168
_cell_angle_alpha 90.00
_cell_angle_beta 90.00
_cell_angle_gamma 90.00
_symmetry_space_group_name_H-M 'P 1'
_symmetry_Int_Tables_number 1
loop_
_symmetry_equiv_pos_as_xyz
'x,y,z'
loop_
_atom_site_label
_atom_site_type_symbol
_atom_site_fract_x
_atom_site_fract_y
_atom_site_fract_z
Cs1 Cs 0.000 0.000 0.000
Ba1 Ba 0.500 0.500 0.000
Ca1 Ca 0.000 0.500 0.500
Ca2 Ca 0.500 0.000 0.500
As1 As 0.000 0.000 0.500